1.
# Ta2CrAs

An optimized crystal structure of Ta2CrAs (PBE, the Alexandria database).

VASP energy in eV/atom: -9.465

```
Ta2CrAs
1.0
-2.2903 -0.0787 -1.8061
1.1833 -2.6575 0.2271
-4.8792 -1.6376 6.2586
Cr As Ta
1 1 2
direct
0.5000 0.5000 0.7500
0.5000 0.5000 0.2500
0.0000 0.0000 0.9946
0.0000 0.0000 0.5054
```

---

2.
# SmTaCuO5

An optimized crystal structure of SmTaCuO5 (PBE, the Alexandria database).

Raw formation energy in eV/atom: -2.4158
VASP energy in eV/atom: -8.098

```
SmTaCuO5
1.0
-3.9676 0.9316 -3.9730
-2.3171 -0.5007 5.1744
3.4449 6.7324 0.4326
O Sm Ta Cu
10 2 2 2
direct
0.1296 0.7205 0.9222
0.6465 0.6976 0.9221
0.2795 0.8704 0.5778
0.9339 0.0661 0.7500
0.3024 0.3535 0.5779
0.8704 0.2795 0.0778
0.0661 0.9339 0.2500
0.7205 0.1296 0.4222
0.3535 0.3024 0.0779
0.6976 0.6465 0.4221
0.6785 0.3215 0.7500
0.3215 0.6785 0.2500
0.0000 0.0000 0.0000
0.0000 0.0000 0.5000
0.6704 0.3296 0.2500
0.3296 0.6704 0.7500
```

---

3.
# BaScCu3Se4

An optimized crystal structure of BaScCu3Se4 (PBE, the Alexandria database).

Raw formation energy in eV/atom: -0.8257
VASP energy in eV/atom: -4.657

```
BaScCu3Se4
1.0
-5.5443 2.5392 -1.6203
-3.0106 -4.5617 3.1528
0.0974 3.5434 5.2199
Cu Se Ba Sc
3 4 1 1
direct
0.0000 0.0000 0.5000
0.5000 0.0000 0.0000
0.0000 0.5000 0.0000
0.2256 0.2256 0.2256
0.2256 0.7744 0.7744
0.7744 0.2256 0.7744
0.7744 0.7744 0.2256
0.5000 0.5000 0.5000
0.0000 0.0000 0.0000
```

---

4.
# DyErCdAu

An optimized crystal structure of DyErCdAu (PBE, the Alexandria database).

ΔE to the lowest computed polymorph in meV/atom: 30
VASP energy in eV/atom: -3.905

```
DyErCdAu
1.0
5.1619 0.0000 0.0000
2.5810 4.4704 0.0000
2.5810 1.4901 4.2147
Cd Dy Er Au
1 1 1 1
direct
0.7500 0.7500 0.7500
0.5000 0.5000 0.5000
0.0000 0.0000 0.0000
0.2500 0.2500 0.2500
```